A plane-wave DFT calculation with PBE with a Hubbard U was carried out for a relaxed structure of Mg2CoRuO6.

a = 5.338 Å, b = 5.338 Å, c = 4.616 Å
α = 90.00°, β = 90.00°, γ = 90.00°
Element x y z (fractional)
Mg (0.000, 0.500, 0.000)
Mg (0.500, 0.000, 0.000)
Co (0.000, 0.000, 0.660)
Ru (0.500, 0.500, 0.713)
O (0.000, 0.000, 0.290)
O (0.251, 0.251, 0.824)
O (0.251, 0.749, 0.824)
O (0.500, 0.500, 0.321)
O (0.749, 0.251, 0.824)
O (0.749, 0.749, 0.824)

Space-group type   No. 99
Total energy   -60.758 eV/cell
ρ   3.845 g/cm3
N(E_F)   4.93 states/eV/f.u.